A plane-wave DFT calculation with PBE-GGA was carried out for an optimized crystal structure of Sc2Si3Pt5.

## Properties
SG = Cmc2_1 (36)

Cell and atoms, written as CIF:
```
data_Sc2Si3Pt5
_chemical_formula_sum 'Sc4 Si6 Pt10'
_space_group_name_H-M_alt 'P 1'
_space_group_IT_number 1
_space_group_name_Hall 'P 1'
_cell_length_a 11.7082
_cell_length_b 11.7082
_cell_length_c 6.6512
_cell_angle_alpha 90.00
_cell_angle_beta 90.00
_cell_angle_gamma 159.40
loop_
_atom_site_label
_atom_site_fract_x
_atom_site_fract_y
_atom_site_fract_z
_atom_site_occupancy
Sc1 0.0195 0.9805 0.5000 1
Sc2 0.3264 0.6736 0.4740 1
Sc3 0.6736 0.3264 0.9740 1
Sc4 0.9805 0.0195 0.0000 1
Si1 0.1019 0.8981 0.8212 1
Si2 0.2737 0.7263 0.9048 1
Si3 0.4481 0.5519 0.6951 1
Si4 0.5519 0.4481 0.1951 1
Si5 0.7263 0.2737 0.4048 1
Si6 0.8981 0.1019 0.3212 1
Pt1 0.1066 0.8934 0.1912 1
Pt2 0.1922 0.8078 0.6406 1
Pt3 0.2264 0.7736 0.2193 1
Pt4 0.3774 0.6226 0.9746 1
Pt5 0.4516 0.5484 0.3046 1
Pt6 0.5484 0.4516 0.8046 1
Pt7 0.6226 0.3774 0.4746 1
Pt8 0.7736 0.2264 0.7193 1
Pt9 0.8078 0.1922 0.1406 1
Pt10 0.8934 0.1066 0.6912 1
```


A plane-wave DFT calculation with PBE-GGA was carried out for an optimized crystal structure of MgBe2Sb2.

## Properties
SG = I4/mmm (139)

Cell and atoms, written as CIF:
```
data_MgBe2Sb2
_chemical_formula_sum 'Mg1 Be2 Sb2'
_space_group_name_H-M_alt 'P 1'
_space_group_IT_number 1
_space_group_name_Hall 'P 1'
_cell_length_a 7.6755
_cell_length_b 7.6755
_cell_length_c 7.6755
_cell_angle_alpha 151.50
_cell_angle_beta 151.50
_cell_angle_gamma 40.75
loop_
_atom_site_label
_atom_site_fract_x
_atom_site_fract_y
_atom_site_fract_z
_atom_site_occupancy
Mg1 0.0000 0.0000 0.0000 1
Be1 0.2500 0.7500 0.5000 1
Be2 0.7500 0.2500 0.5000 1
Sb1 0.3665 0.3665 0.0000 1
Sb2 0.6335 0.6335 0.0000 1
```


Table of energy relative to the elements, uncorrected (meV per atom), in record order: -1004, 181
Table of uncorrected energy (eV/atom), in record order: -6.918, -3.277